No. 1
AgBBr3 at its PBEsol-relaxed geometry. Source: the Alexandria database, functional SCAN.

Values from the calculation:
D(E_F) (states/eV/cell): 1.1
DFT total energy (eV/atom): -18.634
Raw formation energy (eV/atom): 0.8006

a = 5.157 Å, b = 5.157 Å, c = 5.157 Å
α = 90.00°, β = 90.00°, γ = 90.00°
Atoms (fractional coordinates):
Br 0.000 0.000 0.500
Br 0.500 0.000 0.000
Br 0.000 0.500 0.000
B 0.500 0.500 0.500
Ag 0.000 0.000 0.000

***

No. 2
RbBa2Ag2 at its PBEsol-relaxed geometry. Source: the Alexandria database, functional SCAN.

Values from the calculation:
D(E_F) (states/eV/cell): 3.3
DFT total energy (eV/atom): -32.538
Calculated formation energy (eV per atom): -0.0232

a = 5.602 Å, b = 5.602 Å, c = 7.627 Å
α = 111.55°, β = 111.55°, γ = 90.00°
Atoms (fractional coordinates):
Ag 0.604 0.604 0.209
Ba 0.750 0.250 0.500
Rb 0.000 0.000 0.000
Ag 0.396 0.396 0.791
Ba 0.250 0.750 0.500